DFT (PBE) results for a relaxed TiPRu2 crystal.

a b c (Å): 6.9673 6.9673 5.1144
angles (deg): 90.00 90.00 90.00
Closest atoms and distances in Å follow each position.
Space group I-42d (No. 122)
Asymmetric unit:
Ti1 0.0000 0.0000 0.0000 (multiplicity 4)  2 P 2.56, 4 Ru 2.86
P1 0.0000 0.0000 0.5000 (multiplicity 4)  4 Ru 2.21
Ru1 0.1724 0.7500 0.6250 (multiplicity 8)  2 P 2.21

Values from the calculation:
raw total energy	-130.5	eV per cell
E_form	-0.1915	eV/atom